## MgSn2N2 (meta-GGA SCAN)

Data for a PBEsol-optimized structure of MgSn2N2.

abc: 3.3260 3.3260 7.9849
angles: 90.00 90.00 90.00
Last column: nearest neighbours and their distance in Å.
Fractional coordinates of all 5 atoms:
Sn 0.0000 0.0000 0.3125  2 N 2.09
N 0.5000 0.0000 0.8453  2 Mg 2.07, 2 Sn 2.09
N 0.0000 0.5000 0.1547  2 Mg 2.07, 2 Sn 2.09
Mg 0.5000 0.5000 0.0000  4 N 2.07
Sn 0.0000 0.0000 0.6875  2 N 2.09

- E_form (uncorrected): -114 meV per atom



## SrMg3N (meta-GGA SCAN)

Data for a PBEsol-optimized structure of SrMg3N.

abc: 4.6935 4.6935 4.6935
angles: 90.00 90.00 90.00
Last column: nearest neighbours and their distance in Å.
Fractional coordinates of all 5 atoms:
N 0.0000 0.0000 0.0000  6 Mg 2.35
Sr 0.5000 0.5000 0.5000  12 Mg 3.32
Mg 0.0000 0.0000 0.5000  2 N 2.35
Mg 0.5000 0.0000 0.0000  2 N 2.35
Mg 0.0000 0.5000 0.0000  2 N 2.35

- E_form (uncorrected): 95 meV per atom



## Sr3MgN (meta-GGA SCAN)

Data for a PBEsol-optimized structure of Sr3MgN.

abc: 5.2998 5.2998 5.2998
angles: 90.00 90.00 90.00
Last column: nearest neighbours and their distance in Å.
Fractional coordinates of all 5 atoms:
Sr 0.5000 0.0000 0.0000  2 N 2.65
Sr 0.0000 0.0000 0.5000  2 N 2.65
N 0.0000 0.0000 0.0000  6 Sr 2.65
Mg 0.5000 0.5000 0.5000  12 Sr 3.75
Sr 0.0000 0.5000 0.0000  2 N 2.65

- E_form (uncorrected): -363 meV per atom



## SrMgTeN2 (meta-GGA SCAN)

Data for a PBEsol-optimized structure of SrMgTeN2.

abc: 4.6432 4.6432 6.4386
angles: 90.00 90.00 90.00
Last column: nearest neighbours and their distance in Å.
Fractional coordinates of all 5 atoms:
Mg 0.5000 0.5000 0.5000  4 Te 3.28
N 0.0000 0.5000 0.0000  2 Sr 2.32
Te 0.0000 0.0000 0.5000  2 Sr 3.22, 4 Mg 3.28
N 0.5000 0.0000 0.0000  2 Sr 2.32
Sr 0.0000 0.0000 0.0000  4 N 2.32

- E_form (uncorrected): 942 meV per atom



## MgTaN2 (meta-GGA SCAN)

Data for a PBEsol-optimized structure of MgTaN2.

abc: 3.0739 3.0739 4.2625
angles: 90.00 90.00 90.00
Last column: nearest neighbours and their distance in Å.
Fractional coordinates of all 4 atoms:
N 0.0000 0.0000 0.5000  2 Mg 2.13, 4 Ta 2.17
N 0.5000 0.5000 0.0000  2 Ta 2.13, 4 Mg 2.17
Ta 0.5000 0.5000 0.5000  6 N 2.13-2.17
Mg 0.0000 0.0000 0.0000  6 N 2.13-2.17

- E_form (uncorrected): -1255 meV per atom



## Mg2TaN (meta-GGA SCAN)

Data for a PBEsol-optimized structure of Mg2TaN.

abc: 4.1791 5.8988 5.8988
angles: 82.79 69.25 69.25
Last column: nearest neighbours and their distance in Å.
Fractional coordinates of all 8 atoms:
Mg 0.3750 0.3859 0.1141  2 N 2.28
N 0.5000 0.0000 0.0000  2 Ta 2.09, 4 Mg 2.28
Ta 0.0000 0.0000 0.0000  2 N 2.09
Mg 0.2391 0.8859 0.3859  2 N 2.28
N 0.2500 0.5000 0.5000  2 Ta 2.09, 4 Mg 2.28
Mg 0.8750 0.6141 0.8859  2 N 2.28
Mg 0.5109 0.1141 0.6141  2 N 2.28
Ta 0.7500 0.5000 0.5000  2 N 2.09

- E_form (uncorrected): 167 meV per atom



## MgTaN2 (meta-GGA SCAN)

Data for a PBEsol-optimized structure of MgTaN2.

abc: 4.2811 4.2811 5.3468
angles: 113.60 113.60 90.00
Last column: nearest neighbours and their distance in Å.
Fractional coordinates of all 8 atoms:
N 0.5014 0.0014 0.0028  3 Ta 2.14-2.22, 3 Mg 2.14-2.19
Ta 0.2500 0.7500 0.5000  6 N 2.14-2.22
N 0.2514 0.2514 0.5028  3 Ta 2.14-2.22, 3 Mg 2.14-2.19
N 0.9986 0.4986 0.9972  3 Ta 2.14-2.22, 3 Mg 2.14-2.19
Mg 0.7500 0.2500 0.5000  6 N 2.14-2.19
N 0.7486 0.7486 0.4972  3 Ta 2.14-2.22, 3 Mg 2.14-2.19
Mg 0.5000 0.5000 0.0000  6 N 2.14-2.19
Ta 0.0000 0.0000 0.0000  6 N 2.14-2.22

- E_form (uncorrected): -1279 meV per atom



## Mg2Ta3N5 (meta-GGA SCAN)

Data for a PBEsol-optimized structure of Mg2Ta3N5.

abc: 5.2668 5.3143 8.1210
angles: 109.10 96.11 71.02
Last column: nearest neighbours and their distance in Å.
Fractional coordinates of all 20 atoms:
N 0.0002 0.2120 0.9009  2 Mg 2.10-2.16, 4 Ta 2.12-2.21
Mg 0.7500 0.5512 0.1025  6 N 2.10-2.17
N 0.9998 0.7880 0.0991  2 Mg 2.10-2.16, 4 Ta 2.12-2.21
N 0.5009 0.0945 0.7001  3 Ta 2.13-2.21, 3 Mg 2.17-2.18
Ta 0.7500 0.3525 0.7051  6 N 2.12-2.20
Ta 0.2500 0.0453 0.0907  6 N 2.14-2.21
Ta 0.7500 0.1488 0.2975  6 N 2.13-2.19
Ta 0.2500 0.6474 0.2949  6 N 2.12-2.20
N 0.0009 0.3944 0.2999  3 Ta 2.13-2.21, 3 Mg 2.17-2.18
Ta 0.2500 0.8512 0.7025  6 N 2.13-2.19
N 0.5000 0.5000 0.5000  2 Mg 2.15, 4 Ta 2.19-2.20
N 0.4998 0.6889 0.9009  2 Mg 2.10-2.16, 4 Ta 2.12-2.21
N 0.0000 0.0000 0.5000  2 Mg 2.15, 4 Ta 2.19-2.20
N 0.4991 0.9055 0.2999  3 Ta 2.13-2.21, 3 Mg 2.17-2.18
N 0.5002 0.3111 0.0991  2 Mg 2.10-2.16, 4 Ta 2.12-2.21
Mg 0.2500 0.4488 0.8975  6 N 2.10-2.17
Mg 0.2500 0.2516 0.5033  6 N 2.15-2.18
Ta 0.7500 0.9547 0.9093  6 N 2.14-2.21
N 0.9991 0.6056 0.7001  3 Ta 2.13-2.21, 3 Mg 2.17-2.18
Mg 0.7500 0.7484 0.4967  6 N 2.15-2.18

- E_form (uncorrected): -1248 meV per atom



## MgTaTe2N (meta-GGA SCAN)

Data for a PBEsol-optimized structure of MgTaTe2N.

abc: 3.7100 5.3093 5.3093
angles: 90.00 90.00 90.00
Last column: nearest neighbours and their distance in Å.
Fractional coordinates of all 5 atoms:
Te 0.0000 0.0000 0.5000  2 Mg 2.65
Ta 0.5000 0.5000 0.5000  8 Te 3.24
Mg 0.0000 0.0000 0.0000  2 N 1.85
N 0.5000 0.0000 0.0000  2 Mg 1.85
Te 0.0000 0.5000 0.0000  2 Mg 2.65

- E_form (uncorrected): 981 meV per atom



## MgTc3N (meta-GGA SCAN)

Data for a PBEsol-optimized structure of MgTc3N.

abc: 4.3880 4.3880 4.3880
angles: 90.00 90.00 90.00
Last column: nearest neighbours and their distance in Å.
Fractional coordinates of all 5 atoms:
N 0.5000 0.5000 0.5000  12 Tc 3.10
Tc 0.0000 0.5000 0.0000  2 Mg 2.19
Tc 0.5000 0.0000 0.0000  2 Mg 2.19
Tc 0.0000 0.0000 0.5000  2 Mg 2.19
Mg 0.0000 0.0000 0.0000  6 Tc 2.19

- E_form (uncorrected): 3311 meV per atom



## MgTcN2 (meta-GGA SCAN)

Data for a PBEsol-optimized structure of MgTcN2.

abc: 2.9220 2.9220 6.6116
angles: 77.23 77.23 60.00
Last column: nearest neighbours and their distance in Å.
Fractional coordinates of all 4 atoms:
Mg 0.0000 0.0000 0.0000  2 N 2.03
N 0.1056 0.1056 0.6831  1 Mg 2.03, 3 Tc 2.05
Tc 0.5000 0.5000 0.5000  6 N 2.05
N 0.8944 0.8944 0.3169  1 Mg 2.03, 3 Tc 2.05

- E_form (uncorrected): 78 meV per atom



## Mg2TeN (meta-GGA SCAN)

Data for a PBEsol-optimized structure of Mg2TeN.

abc: 4.6478 4.6478 4.6478
angles: 60.00 60.00 60.00
Last column: nearest neighbours and their distance in Å.
Fractional coordinates of all 4 atoms:
Te 0.5000 0.5000 0.5000  8 Mg 2.85
N 0.0000 0.0000 0.0000  8 Mg 2.85
Mg 0.2500 0.2500 0.2500  4 Te 2.85, 4 N 2.85
Mg 0.7500 0.7500 0.7500  4 Te 2.85, 4 N 2.85

- E_form (uncorrected): 378 meV per atom



## YMgTeN2 (meta-GGA SCAN)

Data for a PBEsol-optimized structure of YMgTeN2.

abc: 4.3249 4.3249 6.1649
angles: 90.00 90.00 90.00
Last column: nearest neighbours and their distance in Å.
Fractional coordinates of all 5 atoms:
Y 0.0000 0.0000 0.0000  4 N 2.16
Mg 0.5000 0.5000 0.5000  4 Te 3.06
Te 0.0000 0.0000 0.5000  4 Mg 3.06, 2 Y 3.08
N 0.0000 0.5000 0.0000  2 Y 2.16
N 0.5000 0.0000 0.0000  2 Y 2.16

- E_form (uncorrected): 285 meV per atom



## Mg2TiN (meta-GGA SCAN)

Data for a PBEsol-optimized structure of Mg2TiN.

abc: 4.0168 5.9779 5.9779
angles: 83.52 70.37 70.37
Last column: nearest neighbours and their distance in Å.
Fractional coordinates of all 8 atoms:
Mg 0.8750 0.6265 0.8735  2 N 2.28
Ti 0.0000 0.0000 0.0000  2 N 2.01
N 0.2500 0.5000 0.5000  2 Ti 2.01
Ti 0.7500 0.5000 0.5000  2 N 2.01
N 0.5000 0.0000 0.0000  2 Ti 2.01
Mg 0.3750 0.3735 0.1265  2 N 2.28
Mg 0.2515 0.8735 0.3735  2 N 2.28
Mg 0.4985 0.1265 0.6265  2 N 2.28

- E_form (uncorrected): -216 meV per atom



## MgTiN2 (meta-GGA SCAN)

Data for a PBEsol-optimized structure of MgTiN2.

abc: 4.2392 6.0664 7.0834
angles: 90.00 90.00 90.00
Last column: nearest neighbours and their distance in Å.
Fractional coordinates of all 16 atoms:
N 0.7500 0.9025 0.3596  2 Ti 1.95-1.98, 3 Mg 2.13-2.14
N 0.7500 0.4025 0.1404  2 Ti 1.95-1.98, 3 Mg 2.13-2.14
N 0.2500 0.5704 0.3880  3 Ti 1.92-2.12, 2 Mg 2.10-2.12
Ti 0.2500 0.4233 0.6280  5 N 1.92-2.12
N 0.2500 0.0975 0.6404  2 Ti 1.95-1.98, 3 Mg 2.13-2.14
Mg 0.2500 0.4164 0.1196  5 N 2.10-2.14
Mg 0.7500 0.0836 0.6196  5 N 2.10-2.14
Ti 0.7500 0.5767 0.3720  5 N 1.92-2.12
N 0.7500 0.9296 0.8880  3 Ti 1.92-2.12, 2 Mg 2.10-2.12
Mg 0.7500 0.5836 0.8804  5 N 2.10-2.14
Ti 0.2500 0.9233 0.8720  5 N 1.92-2.12
Ti 0.7500 0.0767 0.1280  5 N 1.92-2.12
Mg 0.2500 0.9164 0.3804  5 N 2.10-2.14
N 0.2500 0.5975 0.8596  2 Ti 1.95-1.98, 3 Mg 2.13-2.14
N 0.7500 0.4296 0.6120  3 Ti 1.92-2.12, 2 Mg 2.10-2.12
N 0.2500 0.0704 0.1120  3 Ti 1.92-2.12, 2 Mg 2.10-2.12

- E_form (uncorrected): -1558 meV per atom



## MgTiN2 (meta-GGA SCAN)

Data for a PBEsol-optimized structure of MgTiN2.

abc: 3.0018 3.0018 5.2660
angles: 73.44 73.44 60.00
Last column: nearest neighbours and their distance in Å.
Fractional coordinates of all 4 atoms:
Ti 0.5000 0.5000 0.5000  6 N 2.07
N 0.2430 0.2430 0.2709  3 Ti 2.07, 3 Mg 2.20
N 0.7570 0.7570 0.7291  3 Ti 2.07, 3 Mg 2.20
Mg 0.0000 0.0000 0.0000  6 N 2.20

- E_form (uncorrected): -1592 meV per atom



## Mg3TlN (meta-GGA SCAN)

Data for a PBEsol-optimized structure of Mg3TlN.

abc: 5.2423 5.2423 5.2423
angles: 90.00 90.00 90.00
Last column: nearest neighbours and their distance in Å.
Fractional coordinates of all 5 atoms:
Mg 0.5000 0.0000 0.0000  2 Tl 2.62
N 0.5000 0.5000 0.5000  12 Mg 3.71
Mg 0.0000 0.0000 0.5000  2 Tl 2.62
Mg 0.0000 0.5000 0.0000  2 Tl 2.62
Tl 0.0000 0.0000 0.0000  6 Mg 2.62

- E_form (uncorrected): 1010 meV per atom
- Polymorph energy (0 for the lowest one): 1.517 eV/atom



## Mg3TlN (meta-GGA SCAN)

Data for a PBEsol-optimized structure of Mg3TlN.

abc: 4.3629 4.3629 4.3629
angles: 90.00 90.00 90.00
Last column: nearest neighbours and their distance in Å.
Fractional coordinates of all 5 atoms:
Mg 0.0000 0.5000 0.0000  2 N 2.18
Mg 0.0000 0.0000 0.5000  2 N 2.18
Mg 0.5000 0.0000 0.0000  2 N 2.18
N 0.0000 0.0000 0.0000  6 Mg 2.18
Tl 0.5000 0.5000 0.5000  12 Mg 3.09

- E_form (uncorrected): -507 meV per atom
- Polymorph energy (0 for the lowest one): 0.000 eV/atom



## Mg3ZnN (meta-GGA SCAN)

Data for a PBEsol-optimized structure of Mg3ZnN.

abc: 4.9092 4.9092 4.9092
angles: 90.00 90.00 90.00
Last column: nearest neighbours and their distance in Å.
Fractional coordinates of all 5 atoms:
Mg 0.5000 0.0000 0.0000  2 Zn 2.45
N 0.5000 0.5000 0.5000  12 Mg 3.47
Zn 0.0000 0.0000 0.0000  6 Mg 2.45
Mg 0.0000 0.5000 0.0000  2 Zn 2.45
Mg 0.0000 0.0000 0.5000  2 Zn 2.45

- E_form (uncorrected): 1000 meV per atom



## MgZn3N (meta-GGA SCAN)

Data for a PBEsol-optimized structure of MgZn3N.

abc: 5.0464 5.0464 5.0464
angles: 90.00 90.00 90.00
Last column: nearest neighbours and their distance in Å.
Fractional coordinates of all 5 atoms:
Zn 0.0000 0.0000 0.5000  2 Mg 2.52
N 0.5000 0.5000 0.5000  12 Zn 3.57
Zn 0.0000 0.5000 0.0000  2 Mg 2.52
Zn 0.5000 0.0000 0.0000  2 Mg 2.52
Mg 0.0000 0.0000 0.0000  6 Zn 2.52

- E_form (uncorrected): 1518 meV per atom



## Mg5ZnN4 (meta-GGA SCAN)

Data for a PBEsol-optimized structure of Mg5ZnN4.

abc: 5.1474 6.7012 7.0676
angles: 90.00 90.00 90.00
Last column: nearest neighbours and their distance in Å.
Fractional coordinates of all 20 atoms:
Mg 0.2801 0.5000 0.5000  4 N 2.05-2.09
N 0.9502 0.7502 0.0000  1 Zn 2.04, 3 Mg 2.05-2.09
Mg 0.7514 0.7473 0.6995  3 N 2.09-2.16
N 0.5019 0.0000 0.2494  5 Mg 2.09-2.16, 1 Zn 2.12
Mg 0.7514 0.7473 0.3005  3 N 2.09-2.16
N 0.5019 0.0000 0.7506  5 Mg 2.09-2.16, 1 Zn 2.12
Mg 0.2486 0.2473 0.8005  3 N 2.09-2.16
Zn 0.7238 0.5000 0.0000  4 N 2.04-2.12
Mg 0.7514 0.2527 0.6995  3 N 2.09-2.16
N 0.4981 0.5000 0.7494  5 Mg 2.09-2.16, 1 Zn 2.12
N 0.0498 0.7498 0.5000  1 Zn 2.04, 3 Mg 2.05-2.09
Mg 0.2486 0.2473 0.1995  3 N 2.09-2.16
N 0.9502 0.2498 0.0000  1 Zn 2.04, 3 Mg 2.05-2.09
Mg 0.2486 0.7527 0.8005  3 N 2.09-2.16
N 0.4981 0.5000 0.2506  5 Mg 2.09-2.16, 1 Zn 2.12
Mg 0.7514 0.2527 0.3005  3 N 2.09-2.16
Zn 0.2762 0.0000 0.5000  4 N 2.04-2.12
Mg 0.2486 0.7527 0.1995  3 N 2.09-2.16
Mg 0.7199 0.0000 0.0000  4 N 2.05-2.09
N 0.0498 0.2502 0.5000  1 Zn 2.04, 3 Mg 2.05-2.09

- E_form (uncorrected): -734 meV per atom



## Mg4ZrN4 (meta-GGA SCAN)

Data for a PBEsol-optimized structure of Mg4ZrN4.

abc: 5.5812 5.6120 8.3944
angles: 70.42 81.51 67.73
Last column: nearest neighbours and their distance in Å.
Fractional coordinates of all 18 atoms:
N 0.1535 0.1619 0.0035  3 Mg 2.03-2.11, 1 Zr 2.05
Mg 0.7398 0.0524 0.4268  4 N 2.12-2.29
Zr 0.2690 0.3907 0.7813  4 N 2.05-2.11
Mg 0.7193 0.8341 0.7831  4 N 2.03-2.14
Mg 0.7429 0.4893 0.5828  4 N 2.13-2.24
N 0.9964 0.3018 0.3989  1 Zr 2.11, 5 Mg 2.14-2.29
N 0.5179 0.8137 0.3835  1 Zr 2.05, 4 Mg 2.08-2.28
N 0.8465 0.8381 0.9965  3 Mg 2.03-2.11, 1 Zr 2.05
Mg 0.2444 0.7623 0.9994  4 N 2.10-2.24
N 0.4975 0.4128 0.1958  1 Zr 2.06, 4 Mg 2.11-2.24
N 0.0036 0.6982 0.6011  1 Zr 2.11, 5 Mg 2.14-2.29
Mg 0.2807 0.1659 0.2169  4 N 2.03-2.14
N 0.5025 0.5872 0.8042  1 Zr 2.06, 4 Mg 2.11-2.24
N 0.4821 0.1863 0.6165  1 Zr 2.05, 4 Mg 2.08-2.28
Zr 0.7310 0.6093 0.2187  4 N 2.05-2.11
Mg 0.2571 0.5107 0.4172  4 N 2.13-2.24
Mg 0.2602 0.9476 0.5732  4 N 2.12-2.29
Mg 0.7556 0.2377 0.0006  4 N 2.10-2.24

- E_form (uncorrected): -1157 meV per atom



## MgZr3N (meta-GGA SCAN)

Data for a PBEsol-optimized structure of MgZr3N.

abc: 4.4799 4.4799 4.4799
angles: 90.00 90.00 90.00
Last column: nearest neighbours and their distance in Å.
Fractional coordinates of all 5 atoms:
Zr 0.5000 0.0000 0.0000  2 N 2.24
Zr 0.0000 0.0000 0.5000  2 N 2.24
Mg 0.5000 0.5000 0.5000  12 Zr 3.17
N 0.0000 0.0000 0.0000  6 Zr 2.24
Zr 0.0000 0.5000 0.0000  2 N 2.24

- E_form (uncorrected): -828 meV per atom



## Na2Mg3 (meta-GGA SCAN)

Data for a PBEsol-optimized structure of Na2Mg3.

abc: 3.1275 5.8716 14.8756
angles: 88.40 83.97 74.55
Last column: nearest neighbours and their distance in Å.
Fractional coordinates of all 10 atoms:
Na 0.6938 0.0035 0.3948  4 Na 3.13-3.48, 6 Mg 3.21-3.38
Mg 0.9067 0.0000 0.0000  6 Mg 3.13-3.27, 4 Na 3.32-3.33
Mg 0.5031 0.9946 0.8065  6 Mg 3.13-3.38, 4 Na 3.21-3.38
Mg 0.0597 0.4946 0.6935  6 Mg 3.13-3.38, 4 Na 3.21-3.38
Na 0.4473 0.4965 0.8948  4 Na 3.13-3.48, 6 Mg 3.21-3.38
Mg 0.2477 0.5054 0.3065  6 Mg 3.13-3.38, 4 Na 3.21-3.38
Mg 0.3042 0.0054 0.1935  6 Mg 3.13-3.38, 4 Na 3.21-3.38
Na 0.8386 0.5035 0.1052  4 Na 3.13-3.48, 6 Mg 3.21-3.38
Na 0.0922 0.9965 0.6052  4 Na 3.13-3.48, 6 Mg 3.21-3.38
Mg 0.6567 0.5000 0.5000  6 Mg 3.13-3.27, 4 Na 3.32-3.33

- Energy of formation: 122 meV per atom
- Polymorph energy (0 for the lowest one): 0.020 eV/atom



## NaMg8 (meta-GGA SCAN)

Data for a PBEsol-optimized structure of NaMg8.

abc: 3.3272 8.1309 8.1309
angles: 87.60 78.19 78.19
Last column: nearest neighbours and their distance in Å.
Fractional coordinates of all 9 atoms:
Mg 0.6707 0.6585 0.0000  8 Mg 3.02-3.33, 2 Na 3.19
Na 0.0000 0.0000 0.0000  8 Mg 3.19, 2 Na 3.33
Mg 0.0000 0.3330 0.6670  10 Mg 3.13-3.33
Mg 0.0000 0.6670 0.3330  10 Mg 3.13-3.33
Mg 0.3293 0.3415 0.0000  8 Mg 3.02-3.33, 2 Na 3.19
Mg 0.3330 0.6670 0.6670  10 Mg 3.13-3.33
Mg 0.3293 0.0000 0.3415  8 Mg 3.02-3.33, 2 Na 3.19
Mg 0.6670 0.3330 0.3330  10 Mg 3.13-3.33
Mg 0.6707 0.0000 0.6585  8 Mg 3.02-3.33, 2 Na 3.19

- Energy of formation: 60 meV per atom